CaSnPb3 | Alexandria | PBE-GGA | optimized geometry; SG = Pm-3m; energy relative to the lowest polymorph listed for this composition = 699.3 meV per atom; theoretical density = 6.608 g cm⁻³; DFT total energy = -14.2 eV for the cell shown; ΔE_f = 0.591 eV/atom
1.0
5.810 0.000 0.000
0.000 5.810 0.000
0.000 0.000 5.810
Ca Sn Pb
1 1 3
Direct
0.000 0.000 0.000 Ca
0.500 0.500 0.500 Sn
0.000 0.000 0.500 Pb
0.000 0.500 0.000 Pb
0.500 0.000 0.000 Pb


HoB2Rh3 | Alexandria | PBE-GGA | optimized geometry; SG = P6/mmm; theoretical density = 10.327 g cm⁻³; DFT total energy = -44.3 eV for the cell shown; ΔE_f = -0.715 eV/atom
1.0
5.420 0.000 0.000
-2.710 4.694 0.000
0.000 0.000 3.130
Ho B Rh
1 2 3
Direct
0.000 0.000 0.000 Ho
0.333 0.667 0.000 B
0.667 0.333 0.000 B
0.000 0.500 0.500 Rh
0.500 0.000 0.500 Rh
0.500 0.500 0.500 Rh


VCdPdPt | Alexandria | PBE-GGA | optimized geometry; SG = F-43m; energy relative to the lowest polymorph listed for this composition = 189.7 meV per atom; theoretical density = 11.812 g cm⁻³; DFT total energy = -88.0 eV for the cell shown; ΔE_f = -0.185 eV/atom
1.0
6.394 0.000 0.000
0.000 6.394 0.000
0.000 0.000 6.394
V Cd Pd Pt
4 4 4 4
Direct
0.000 0.000 0.000 V
0.000 0.500 0.500 V
0.500 0.000 0.500 V
0.500 0.500 0.000 V
0.000 0.000 0.500 Cd
0.000 0.500 0.000 Cd
0.500 0.000 0.000 Cd
0.500 0.500 0.500 Cd
0.250 0.250 0.250 Pd
0.250 0.750 0.750 Pd
0.750 0.250 0.750 Pd
0.750 0.750 0.250 Pd
0.250 0.250 0.750 Pt
0.250 0.750 0.250 Pt
0.750 0.250 0.250 Pt
0.750 0.750 0.750 Pt


Rb2Hg5Bi2 | Alexandria | PBE-GGA | optimized geometry; SG = P4/mmm; theoretical density = 7.774 g cm⁻³; DFT total energy = -12.4 eV for the cell shown; ΔE_f = -0.128 eV/atom
1.0
5.745 0.000 0.000
0.000 5.745 0.000
0.000 0.000 10.302
Rb Hg Bi
2 5 2
Direct
0.000 0.000 0.000 Rb
0.000 0.000 0.500 Rb
0.000 0.500 0.217 Hg
0.000 0.500 0.783 Hg
0.500 0.000 0.217 Hg
0.500 0.000 0.783 Hg
0.500 0.500 0.000 Hg
0.500 0.500 0.355 Bi
0.500 0.500 0.645 Bi


InMoPCl2 | Alexandria | PBE-GGA | optimized geometry; SG = P4/mmm; uncorrected formation energy = 0.8314 eV per atom; energy relative to the lowest polymorph listed for this composition = 965.3 meV per atom; theoretical density = 4.071 g cm⁻³; DFT total energy = -18.5 eV for the cell shown
1.0
4.706 0.000 0.000
0.000 4.706 0.000
0.000 0.000 5.758
In Mo P Cl
1 1 1 2
Direct
0.000 0.000 0.000 In
0.500 0.500 0.000 Mo
0.000 0.000 0.500 P
0.000 0.500 0.500 Cl
0.500 0.000 0.500 Cl


FeAgSe2N | Alexandria | PBE-GGA | optimized geometry; SG = P4/mmm; uncorrected formation energy = 0.3197 eV per atom; energy relative to the lowest polymorph listed for this composition = 0.0 meV per atom; theoretical density = 6.599 g cm⁻³; DFT total energy = -25.0 eV for the cell shown
1.0
5.003 0.000 0.000
0.000 5.003 0.000
0.000 0.000 3.375
Fe Ag Se N
1 1 2 1
Direct
0.000 0.000 0.000 Fe
0.500 0.500 0.500 Ag
0.000 0.500 0.000 Se
0.500 0.000 0.000 Se
0.000 0.000 0.500 N